# 1
Crystalline TiZnNi at its relaxed geometry, computed with PBE.

Cell: 4.2223 4.2223 5.3451 Å, 90.00 90.00 120.00°
Space group P3m1 (No. 156)
Symmetry-distinct sites (fractional):
Ti 0.0000 0.0000 0.0000 x1
Ti 0.3333 0.6667 0.6569 x1
Zn 0.0000 0.0000 0.4866 x1
Zn 0.6667 0.3333 0.3186 x1
Ni 0.3333 0.6667 0.1341 x1
Ni 0.6667 0.3333 0.8361 x1

DFT total energy: -15.78 eV/f.u.

***

# 2
Crystalline TiZnNi at its relaxed geometry, computed with PBE.

Cell: 4.256 8.446 4.586 Å, 90.00 90.00 90.00°
Space group Amm2 (No. 38)
Symmetry-distinct sites (fractional):
Ti 0.000 0.000 0.000 x2
Ti 0.500 0.000 0.428 x2
Zn 0.500 0.183 0.902 x4
Ni 0.000 0.164 0.533 x4

DFT total energy: -15.71 eV/f.u.

***

Question: Which of these has the lowest DFT total energy?
Answer: number 1